Entry 1:
# Ac2CuSn (PBEsol, relaxed)
data_Ac2CuSn
_symmetry_space_group_name_H-M 'F m -3 m'
_symmetry_Int_Tables_number 225
_symmetry_space_group_name_Hall '-F 4 2 3'
_cell_length_a 7.820
_cell_length_b 7.820
_cell_length_c 7.820
_cell_angle_alpha 90.00
_cell_angle_beta 90.00
_cell_angle_gamma 90.00
loop_
_atom_site_label
_atom_site_fract_x
_atom_site_fract_y
_atom_site_fract_z
_atom_site_occupancy
Ac1 0.250 0.250 0.250 1
Cu1 0.000 0.000 0.000 1
Sn1 0.000 0.000 0.500 1
# **Energy relative to the elements**: -0.33 eV/atom
# **Size of the total moment**: 0.00 μB/atom

=====

Entry 2:
# AcEuZn2 (PBEsol, relaxed)
data_AcEuZn2
_symmetry_space_group_name_H-M 'F m -3 m'
_symmetry_Int_Tables_number 225
_symmetry_space_group_name_Hall '-F 4 2 3'
_cell_length_a 7.512
_cell_length_b 7.512
_cell_length_c 7.512
_cell_angle_alpha 90.00
_cell_angle_beta 90.00
_cell_angle_gamma 90.00
loop_
_atom_site_label
_atom_site_fract_x
_atom_site_fract_y
_atom_site_fract_z
_atom_site_occupancy
Ac1 0.000 0.000 0.000 1
Eu1 0.000 0.000 0.500 1
Zn1 0.250 0.250 0.250 1
# **Energy relative to the elements**: -0.25 eV/atom
# **Size of the total moment**: 1.79 μB/atom

=====

Entry 3:
# Ac2InGa (PBEsol, relaxed)
data_Ac2InGa
_symmetry_space_group_name_H-M 'F m -3 m'
_symmetry_Int_Tables_number 225
_symmetry_space_group_name_Hall '-F 4 2 3'
_cell_length_a 7.909
_cell_length_b 7.909
_cell_length_c 7.909
_cell_angle_alpha 90.00
_cell_angle_beta 90.00
_cell_angle_gamma 90.00
loop_
_atom_site_label
_atom_site_fract_x
_atom_site_fract_y
_atom_site_fract_z
_atom_site_occupancy
Ac1 0.250 0.250 0.250 1
In1 0.000 0.000 0.000 1
Ga1 0.000 0.000 0.500 1
# **Energy relative to the elements**: -0.42 eV/atom
# **Size of the total moment**: 0.00 μB/atom

=====

| no. | E_tot (eV/atom) |
| --- | --- |
| 1 | -4.727 |
| 2 | -4.804 |
| 3 | -4.255 |